[1]
## NpTlGe2O8 (PBE)

Data for a relaxed structure of NpTlGe2O8.

Lattice parameters (Å, degrees): 5.655 5.655 8.133 90.00 90.00 120.00
Each line ends with the local moment (μB).
Element x y z (fractional)
Np: 0.000 0.000 0.000  0.47
Tl: 0.000 0.000 0.500  0.02
Ge: 0.333 0.667 0.756  0.00
Ge: 0.667 0.333 0.244  0.00
O: 0.167 0.334 0.852  -0.01
O: 0.167 0.833 0.852  -0.01
O: 0.666 0.833 0.852  -0.01
O: 0.334 0.167 0.148  -0.01
O: 0.667 0.333 0.452  0.15
O: 0.333 0.667 0.548  0.15
O: 0.833 0.666 0.148  -0.01
O: 0.833 0.167 0.148  -0.01

Computed properties:
Formation energy from raw total energies: -20.10 eV per formula unit
Fermi-level density of states: 9.92 states/eV/f.u.
SG: P-3m1


[2]
## AcLaDyY (PBE)

Data for a relaxed structure of AcLaDyY.

Lattice parameters (Å, degrees): 5.910 5.910 5.910 60.00 60.00 60.00
Element x y z (fractional)
Y: 0.750 0.750 0.750
Ac: 0.000 0.000 0.000
La: 0.500 0.500 0.500
Dy: 0.250 0.250 0.250

Computed properties:
Fermi-level density of states: 6.94 states/eV/f.u.
Raw total energy: -4.936 eV per atom
SG: F-43m


[3]
## CsTbMnTe4 (PBE)

Data for a relaxed structure of CsTbMnTe4.

Lattice parameters (Å, degrees): 7.763 6.338 10.846 90.00 105.63 90.00
Each line ends with the local moment (μB).
Element x y z (fractional)
Cs: 0.770 0.750 0.954  0.00
Cs: 0.230 0.250 0.046  0.00
Tb: 0.744 0.750 0.451  0.09
Tb: 0.256 0.250 0.549  0.09
Mn: 0.278 0.750 0.344  3.81
Mn: 0.722 0.250 0.656  3.81
Te: 0.009 0.505 0.694  0.00
Te: 0.991 0.005 0.306  0.00
Te: 0.991 0.495 0.306  0.00
Te: 0.009 0.995 0.694  0.00
Te: 0.471 0.750 0.182  -0.04
Te: 0.529 0.250 0.818  -0.04
Te: 0.433 0.750 0.590  -0.03
Te: 0.567 0.250 0.410  -0.03

Computed properties:
Formation energy from raw total energies: -5.55 eV per formula unit
Fermi-level density of states: 3.69 states/eV/f.u.
SG: P2_1/m